# 1
First-principles (PBEsol) data for a relaxed structure of Ag7Te, as listed in the Alexandria database.

The structure in POSCAR format:
```
Ag7Te
1.0
0.000 4.142 4.142
4.142 0.000 4.142
4.142 4.142 0.000
Ag Te
7 1
direct
0.000 0.000 0.000 Ag
0.000 0.000 0.500 Ag
0.000 0.500 0.000 Ag
0.000 0.500 0.500 Ag
0.500 0.000 0.000 Ag
0.500 0.000 0.500 Ag
0.500 0.500 0.000 Ag
0.500 0.500 0.500 Te
```

Properties
SG = No. 225

***

# 2
First-principles (PBEsol) data for a relaxed structure of Ag8Te, as listed in the Alexandria database.

The structure in POSCAR format:
```
Ag8Te
1.0
-4.412 4.412 2.040
4.412 -4.412 2.040
4.412 4.412 -2.040
Ag Te
8 1
direct
0.000 0.339 0.339 Ag
0.000 0.661 0.661 Ag
0.328 0.328 0.655 Ag
0.328 0.672 0.000 Ag
0.339 0.000 0.339 Ag
0.661 0.000 0.661 Ag
0.672 0.328 0.000 Ag
0.672 0.672 0.345 Ag
0.000 0.000 0.000 Te
```

Properties
SG = No. 139

***

# 3
First-principles (PBEsol) data for a relaxed structure of Ag2Te, as listed in the Alexandria database.

The structure in POSCAR format:
```
Ag2Te
1.0
0.000 3.285 3.285
3.285 0.000 3.285
3.285 3.285 0.000
Ag Te
2 1
direct
0.250 0.250 0.250 Ag
0.750 0.750 0.750 Ag
0.000 0.000 0.000 Te
```

Properties
SG = No. 225

***

# 4
First-principles (PBEsol) data for a relaxed structure of AgTe, as listed in the Alexandria database.

The structure in POSCAR format:
```
AgTe
1.0
6.198 0.000 0.000
0.000 4.568 0.000
0.000 0.000 7.521
Ag Te
4 4
direct
0.093 0.250 0.080 Ag
0.407 0.750 0.580 Ag
0.593 0.250 0.420 Ag
0.907 0.750 0.920 Ag
0.101 0.750 0.278 Te
0.399 0.250 0.778 Te
0.601 0.750 0.222 Te
0.899 0.250 0.722 Te
```

Properties
SG = No. 62

***

| no. | E_tot (eV per atom) | magnetic moment (μB per cell) | DOS at the Fermi energy (states/eV/atom) |
| --- | --- | --- | --- |
| 1 | -3.2755 | 0.00 | 0.278 |
| 2 | -3.3149 | 0.00 | 0.285 |
| 3 | -3.3489 | 0.00 | 0.057 |
| 4 | -3.3686 | 0.00 | 0.410 |